DFT (GGA-PBE) results for crystalline AcCe2Al at its relaxed geometry.

Cell: 3.7249 3.7249 8.7225 Å, 90.00 90.00 90.00°
Sites, in units of the cell vectors:
Al1 0.5000 0.5000 0.0000
Ce1 0.0000 0.0000 0.7993
Ce2 0.0000 0.0000 0.2007
Ac1 0.5000 0.5000 0.5000

Values from the calculation:
DFT formation energy ... -36 meV per atom
Energy above the most stable polymorph in this dataset ... 0.000 eV per atom
Crystal system ... tetragonal
E ... -4.9659 eV/atom
Space-group type ... P4/mmm (123)
DOS at the Fermi energy ... 11.44 states/eV/f.u.